{
  "formula": "Sm2DyHoEr4",
  "functional": "GGA-PBE",
  "state": "relaxed",
  "lattice": [[-2.709, 4.102, 8.088], [-6.778, -6.483, 1.270], [10.887, -1.578, -4.046]],
  "species": ["Sm", "Sm", "Sm", "Sm", "Dy", "Dy", "Ho", "Ho", "Er", "Er", "Er", "Er", "Er", "Er", "Er", "Er"],
  "fractional_positions": [[0.500, 0.000, 0.000], [0.500, 0.000, 0.500], [0.000, 0.000, 0.500], [0.500, 0.500, 0.000], [0.500, 0.500, 0.500], [0.000, 0.000, 0.000], [0.000, 0.500, 0.000], [0.000, 0.500, 0.500], [0.247, 0.751, 0.999], [0.749, 0.253, 0.501], [0.251, 0.747, 0.499], [0.753, 0.249, 0.001], [0.753, 0.750, 0.999], [0.750, 0.747, 0.501], [0.250, 0.253, 0.499], [0.247, 0.250, 0.001]],
  "total_magnetization_mub_per_fu": 3.35,
  "sg": "No. 15",
  "dft_energy_ry_per_atom": -0.3064,
  "e_form_kj_per_mol_atoms": 42.5,
  "n_ef_per_ev_atom": 2.11,
  "crystal_system": "monoclinic"
}

---

{
  "formula": "Y2HCl4",
  "functional": "GGA-PBE",
  "state": "relaxed",
  "lattice": [[-2.822, -2.997, 1.767], [2.950, -0.856, 3.260], [-2.918, 3.279, 6.579]],
  "species": ["Y", "Y", "H", "Cl", "Cl", "Cl", "Cl"],
  "fractional_positions": [[0.615, 0.615, 0.770], [0.385, 0.385, 0.230], [0.000, 0.000, 0.000], [0.809, 0.809, 0.383], [0.191, 0.191, 0.617], [0.000, 0.500, 0.000], [0.500, 0.000, 0.000]],
  "total_magnetization_mub_per_fu": 0.63,
  "sg": "No. 139",
  "dft_energy_ry_per_atom": -0.3196,
  "n_ef_per_ev_atom": 0.46,
  "crystal_system": "tetragonal"
}

---

{
  "formula": "La2Ce2S7",
  "functional": "GGA-PBE",
  "state": "relaxed",
  "lattice": [[-2.576, 2.928, -1.160], [-4.888, -3.845, -5.988], [-7.735, -3.067, 2.300]],
  "species": ["La", "La", "Ce", "Ce", "S", "S", "S", "S", "S", "S", "S"],
  "fractional_positions": [[0.000, 0.791, 0.209], [0.500, 0.334, 0.666], [0.741, 0.839, 0.679], [0.259, 0.321, 0.161], [0.810, 0.081, 0.299], [0.856, 0.419, 0.869], [0.500, 0.015, 0.985], [0.616, 0.495, 0.273], [0.384, 0.727, 0.505], [0.190, 0.701, 0.919], [0.144, 0.131, 0.581]],
  "total_magnetization_mub_per_fu": 0.32,
  "sg": "No. 44",
  "dft_energy_ry_per_atom": -0.4796,
  "n_ef_per_ev_atom": 0.23,
  "crystal_system": "orthorhombic",
  "formation_energy_uncorrected_ev_per_fu": -21.16
}

---

{
  "formula": "PuNi4Pt",
  "functional": "GGA-PBE",
  "state": "relaxed",
  "lattice": [[4.899, 0.000, 0.000], [2.450, 4.243, 0.000], [2.450, 1.414, 4.000]],
  "species": ["Ni", "Ni", "Ni", "Ni", "Pt", "Pu"],
  "fractional_positions": [[0.626, 0.626, 0.123], [0.626, 0.123, 0.626], [0.626, 0.626, 0.626], [0.123, 0.626, 0.626], [0.000, 0.000, 0.000], [0.250, 0.250, 0.250]],
  "total_magnetization_mub_per_fu": 2.40,
  "sg": "No. 216",
  "dft_energy_ry_per_atom": -0.5537,
  "e_form_kj_per_mol_atoms": -27.3,
  "n_ef_per_ev_atom": 2.40,
  "crystal_system": "cubic"
}

---

{
  "formula": "GaIrSe2N",
  "functional": "GGA-PBE",
  "state": "relaxed",
  "lattice": [[-1.251, -0.672, -4.849], [2.119, -4.586, 0.089], [-3.063, -1.396, 0.984]],
  "species": ["Ir", "Ga", "Se", "Se", "N"],
  "fractional_positions": [[0.500, 0.500, 0.500], [0.000, 0.000, 0.000], [0.000, 0.500, 0.000], [0.500, 0.000, 0.000], [0.000, 0.000, 0.500]],
  "total_magnetization_mub_per_fu": 1.32,
  "sg": "No. 123",
  "dft_energy_ry_per_atom": -0.3146,
  "n_ef_per_ev_atom": 0.45,
  "crystal_system": "tetragonal",
  "formation_energy_uncorrected_ev_per_fu": 5.78
}

---

{
  "formula": "GeAs2W",
  "functional": "GGA-PBE",
  "state": "relaxed",
  "lattice": [[-5.901, 0.065, 0.210], [-0.071, -5.902, -0.182], [-2.787, -3.096, 5.670]],
  "species": ["As", "As", "As", "As", "Ge", "Ge", "W", "W"],
  "fractional_positions": [[0.642, 0.125, 0.250], [0.108, 0.625, 0.250], [0.375, 0.358, 0.750], [0.875, 0.892, 0.750], [0.500, 0.500, 0.000], [0.250, 0.750, 0.500], [0.000, 0.000, 0.000], [0.750, 0.250, 0.500]],
  "total_magnetization_mub_per_fu": 1.60,
  "sg": "No. 122",
  "dft_energy_ry_per_atom": -0.4545,
  "e_form_kj_per_mol_atoms": 51.4,
  "n_ef_per_ev_atom": 0.68,
  "crystal_system": "tetragonal"
}

---

{
  "formula": "BaTlSeCl",
  "functional": "GGA-PBE",
  "state": "relaxed",
  "lattice": [[4.541, 0.000, -0.001], [-2.270, 3.934, 0.001], [-2.271, -1.309, 8.364]],
  "species": ["Ba", "Tl", "Se", "Cl"],
  "fractional_positions": [[0.477, 0.136, 0.628], [0.105, 0.950, 0.071], [0.297, 0.546, 0.859], [0.999, 0.398, 0.412]],
  "total_magnetization_mub_per_fu": 0.00,
  "sg": "No. 160",
  "dft_energy_ry_per_atom": -0.2890,
  "n_ef_per_ev_atom": 0.00,
  "crystal_system": "trigonal",
  "formation_energy_uncorrected_ev_per_fu": -6.11
}

---

{
  "formula": "Cs2NaIrCl6",
  "functional": "GGA-PBE",
  "state": "relaxed",
  "lattice": [[6.739, 0.000, 0.000], [0.000, 7.413, 0.000], [0.000, -3.706, 6.419]],
  "species": ["Cs", "Cs", "Na", "Ir", "Cl", "Cl", "Cl", "Cl", "Cl", "Cl"],
  "fractional_positions": [[0.200, 0.333, 0.667], [0.800, 0.667, 0.333], [0.500, 0.000, 0.000], [0.000, 0.000, 0.000], [0.794, 0.151, 0.303], [0.794, 0.151, 0.849], [0.794, 0.697, 0.849], [0.206, 0.849, 0.151], [0.206, 0.303, 0.151], [0.206, 0.849, 0.697]],
  "total_magnetization_mub_per_fu": 0.00,
  "sg": "No. 164",
  "dft_energy_ry_per_atom": -0.2717,
  "n_ef_per_ev_atom": 0.00,
  "crystal_system": "trigonal",
  "formation_energy_uncorrected_ev_per_fu": -13.99
}

---

{
  "formula": "PaCu3Rh4O12",
  "functional": "GGA-PBE",
  "state": "relaxed",
  "lattice": [[-3.468, 5.039, 2.298], [-3.650, -5.418, 0.178], [5.328, -0.840, 3.689]],
  "species": ["Pa", "Cu", "Cu", "Cu", "Rh", "Rh", "Rh", "Rh", "O", "O", "O", "O", "O", "O", "O", "O", "O", "O", "O", "O"],
  "fractional_positions": [[0.000, 0.000, 0.000], [0.000, 0.500, 0.500], [0.500, 0.500, 0.000], [0.500, 0.000, 0.500], [0.500, 0.000, 0.000], [0.500, 0.500, 0.500], [0.000, 0.500, 0.000], [0.000, 0.000, 0.500], [0.295, 0.840, 0.135], [0.705, 0.160, 0.865], [0.705, 0.840, 0.545], [0.865, 0.705, 0.160], [0.840, 0.135, 0.295], [0.160, 0.455, 0.295], [0.455, 0.295, 0.160], [0.160, 0.865, 0.705], [0.295, 0.160, 0.455], [0.135, 0.295, 0.840], [0.840, 0.545, 0.705], [0.545, 0.705, 0.840]],
  "total_magnetization_mub_per_fu": 2.07,
  "sg": "No. 204",
  "dft_energy_ry_per_atom": -0.4886,
  "n_ef_per_ev_atom": 0.49,
  "crystal_system": "cubic",
  "formation_energy_uncorrected_ev_per_fu": -22.25
}

---

{
  "formula": "TbTmTh6",
  "functional": "GGA-PBE",
  "state": "relaxed",
  "lattice": [[-1.825, 3.544, -3.087], [-2.975, -3.435, -2.184], [-7.280, 2.063, 6.672]],
  "species": ["Tb", "Tm", "Th", "Th", "Th", "Th", "Th", "Th"],
  "fractional_positions": [[0.000, 0.000, 0.500], [0.000, 0.000, 0.000], [0.500, 0.500, 0.000], [0.500, 0.500, 0.500], [0.500, 0.000, 0.249], [0.500, 0.000, 0.751], [0.000, 0.500, 0.249], [0.000, 0.500, 0.751]],
  "total_magnetization_mub_per_fu": 0.00,
  "sg": "No. 123",
  "dft_energy_ry_per_atom": -0.4885,
  "e_form_kj_per_mol_atoms": 5.4,
  "n_ef_per_ev_atom": 1.69,
  "crystal_system": "tetragonal"
}

---

{
  "formula": "CeMg8Ag4",
  "functional": "GGA-PBE",
  "state": "relaxed",
  "lattice": [[-5.191, 1.947, 1.108], [-3.948, 1.263, -6.296], [-5.011, -5.580, 0.754]],
  "species": ["Ce", "Mg", "Mg", "Mg", "Mg", "Mg", "Mg", "Mg", "Mg", "Ag", "Ag", "Ag", "Ag"],
  "fractional_positions": [[0.000, 0.000, 0.000], [0.000, 0.343, 0.657], [0.000, 0.657, 0.343], [0.343, 0.657, 0.657], [0.657, 0.343, 0.343], [0.500, 0.785, 0.215], [0.500, 0.215, 0.785], [0.285, 0.215, 0.215], [0.715, 0.785, 0.785], [0.000, 0.000, 0.500], [0.500, 0.000, 0.500], [0.000, 0.500, 0.000], [0.500, 0.500, 0.000]],
  "total_magnetization_mub_per_fu": 1.15,
  "sg": "No. 139",
  "dft_energy_ry_per_atom": -0.1819,
  "e_form_kj_per_mol_atoms": -15.4,
  "n_ef_per_ev_atom": 1.03,
  "crystal_system": "tetragonal"
}

---

{
  "formula": "TmVSi2Os",
  "functional": "GGA-PBE",
  "state": "relaxed",
  "lattice": [[-1.148, 0.160, -3.789], [3.553, -1.339, -1.133], [-2.955, -4.334, 2.784]],
  "species": ["Tm", "V", "Si", "Si", "Os"],
  "fractional_positions": [[0.000, 0.000, 0.000], [0.750, 0.250, 0.500], [0.614, 0.614, 0.229], [0.386, 0.386, 0.771], [0.250, 0.750, 0.500]],
  "total_magnetization_mub_per_fu": 0.72,
  "sg": "No. 119",
  "dft_energy_ry_per_atom": -0.5721,
  "n_ef_per_ev_atom": 0.71,
  "crystal_system": "tetragonal",
  "formation_energy_uncorrected_ev_per_fu": -3.25
}